Material: La3Pr4Dy4
Method: DFT, PBE-GGA
State: optimized geometry

Calculated values
The mass density is 6.924 Mg/m³. The value obtained for the formation enthalpy at 0 K is 0.15 eV per atom.

Lattice parameters (Å, degrees): 10.971 6.773 6.773 50.97 90.00 90.00
Element x y z (fractional)
La1 0.000 0.000 0.000
La2 0.287 0.162 0.162
La3 0.713 0.162 0.162
Pr1 0.000 0.705 0.705
Pr2 0.216 0.496 0.496
Pr3 0.500 0.631 0.631
Pr4 0.784 0.496 0.496
Dy1 0.000 0.305 0.305
Dy2 0.308 0.856 0.856
Dy3 0.500 0.358 0.358
Dy4 0.692 0.856 0.856



Material: La5Pr4Dy4
Method: DFT, PBE-GGA
State: optimized geometry

Calculated values
The mass density is 6.896 Mg/m³. The value obtained for the formation enthalpy at 0 K is 0.10 eV per atom.

Lattice parameters (Å, degrees): 8.966 8.966 10.221 114.89 114.89 38.67
Element x y z (fractional)
La1 0.000 0.000 0.000
La2 0.306 0.306 0.768
La3 0.477 0.477 0.190
La4 0.523 0.523 0.810
La5 0.694 0.694 0.232
Pr1 0.091 0.091 0.713
Pr2 0.362 0.362 0.450
Pr3 0.638 0.638 0.550
Pr4 0.909 0.909 0.287
Dy1 0.138 0.138 0.378
Dy2 0.248 0.248 0.085
Dy3 0.752 0.752 0.915
Dy4 0.862 0.862 0.622



Material: La3PrDy3
Method: DFT, PBE-GGA
State: optimized geometry

Calculated values
The mass density is 6.982 Mg/m³. The value obtained for the formation enthalpy at 0 K is 0.13 eV per atom.

Lattice parameters (Å, degrees): 8.374 8.374 8.374 69.44 69.44 69.44
Element x y z (fractional)
La1 0.126 0.270 0.836
La2 0.164 0.874 0.730
La3 0.270 0.836 0.126
La4 0.730 0.164 0.874
La5 0.836 0.126 0.270
La6 0.874 0.730 0.164
Pr1 0.409 0.409 0.409
Pr2 0.591 0.591 0.591
Dy1 0.025 0.310 0.446
Dy2 0.310 0.446 0.025
Dy3 0.446 0.025 0.310
Dy4 0.554 0.975 0.690
Dy5 0.690 0.554 0.975
Dy6 0.975 0.690 0.554



Material: La6Pr4Dy
Method: DFT, PBE-GGA
State: optimized geometry

Calculated values
The mass density is 6.346 Mg/m³. The value obtained for the formation enthalpy at 0 K is 0.25 eV per atom.

Lattice parameters (Å, degrees): 9.626 9.626 9.626 137.12 137.12 62.25
Element x y z (fractional)
La1 0.000 0.500 0.500
La2 0.005 0.631 0.000
La3 0.369 0.369 0.373
La4 0.500 0.000 0.500
La5 0.631 0.005 0.000
La6 0.995 0.995 0.627
Pr1 0.223 0.223 0.664
Pr2 0.441 0.777 0.000
Pr3 0.559 0.559 0.336
Pr4 0.777 0.441 0.000
Dy1 0.000 0.000 0.000



Material: La2Pr4Dy5
Method: DFT, PBE-GGA
State: optimized geometry

Calculated values
The mass density is 7.060 Mg/m³. The value obtained for the formation enthalpy at 0 K is 0.24 eV per atom.

Lattice parameters (Å, degrees): 12.746 12.746 12.746 163.98 137.00 46.17
Element x y z (fractional)
La1 0.232 0.232 0.000
La2 0.768 0.768 0.000
Pr1 0.097 0.097 0.000
Pr2 0.203 0.500 0.703
Pr3 0.797 0.500 0.297
Pr4 0.903 0.903 0.000
Dy1 0.168 0.359 0.810
Dy2 0.451 0.641 0.810
Dy3 0.500 0.000 0.500
Dy4 0.549 0.359 0.190
Dy5 0.832 0.641 0.190



Material: La6Pr3Dy2
Method: DFT, PBE-GGA
State: optimized geometry

Calculated values
The mass density is 6.680 Mg/m³. The value obtained for the formation enthalpy at 0 K is 0.02 eV per atom.

Lattice parameters (Å, degrees): 6.402 8.245 8.307 107.46 97.72 105.06
Element x y z (fractional)
La1 0.046 0.184 0.408
La2 0.230 0.911 0.046
La3 0.316 0.273 0.864
La4 0.684 0.727 0.136
La5 0.770 0.089 0.954
La6 0.954 0.816 0.592
Pr1 0.137 0.544 0.231
Pr2 0.500 0.000 0.500
Pr3 0.863 0.456 0.769
Dy1 0.411 0.635 0.680
Dy2 0.589 0.365 0.320



Material: LaPrDy2
Method: DFT, PBE-GGA
State: optimized geometry

Calculated values
The mass density is 7.386 Mg/m³. The value obtained for the formation enthalpy at 0 K is 0.02 eV per atom.

Lattice parameters (Å, degrees): 3.652 3.652 35.319 90.00 90.00 120.00
Element x y z (fractional)
La1 0.000 0.000 0.000
La2 0.333 0.667 0.667
La3 0.667 0.333 0.333
Pr1 0.000 0.000 0.166
Pr2 0.333 0.667 0.833
Pr3 0.667 0.333 0.499
Dy1 0.000 0.000 0.416
Dy2 0.000 0.000 0.584
Dy3 0.333 0.667 0.083
Dy4 0.333 0.667 0.250
Dy5 0.667 0.333 0.750
Dy6 0.667 0.333 0.917



Material: La4Pr5Dy3
Method: DFT, PBE-GGA
State: optimized geometry

Calculated values
The mass density is 6.693 Mg/m³. The value obtained for the formation enthalpy at 0 K is 0.19 eV per atom.

Lattice parameters (Å, degrees): 8.872 8.872 9.564 115.07 115.07 40.20
Element x y z (fractional)
La1 0.083 0.083 0.439
La2 0.218 0.218 0.877
La3 0.782 0.782 0.123
La4 0.917 0.917 0.561
Pr1 0.000 0.000 0.000
Pr2 0.329 0.329 0.611
Pr3 0.425 0.425 0.296
Pr4 0.575 0.575 0.704
Pr5 0.671 0.671 0.389
Dy1 0.209 0.209 0.226
Dy2 0.500 0.500 0.000
Dy3 0.791 0.791 0.774



Material: La4Pr6Dy
Method: DFT, PBE-GGA
State: optimized geometry

Calculated values
The mass density is 6.485 Mg/m³. The value obtained for the formation enthalpy at 0 K is 0.24 eV per atom.

Lattice parameters (Å, degrees): 9.806 9.806 9.806 139.10 139.10 59.23
Element x y z (fractional)
La1 0.218 0.218 0.679
La2 0.461 0.782 0.000
La3 0.539 0.539 0.321
La4 0.782 0.461 0.000
Pr1 0.000 0.500 0.500
Pr2 0.003 0.635 0.000
Pr3 0.365 0.365 0.368
Pr4 0.500 0.000 0.500
Pr5 0.635 0.003 0.000
Pr6 0.997 0.997 0.632
Dy1 0.000 0.000 0.000



Material: LaPr4Dy3
Method: DFT, PBE-GGA
State: optimized geometry

Calculated values
The mass density is 7.082 Mg/m³. The value obtained for the formation enthalpy at 0 K is 0.03 eV per atom.

Lattice parameters (Å, degrees): 11.799 7.405 6.388 90.00 90.00 90.00
Element x y z (fractional)
La1 0.000 0.125 0.000
La2 0.500 0.875 0.500
Pr1 0.000 0.371 0.507
Pr2 0.000 0.629 0.995
Pr3 0.246 0.626 0.336
Pr4 0.254 0.374 0.836
Pr5 0.500 0.371 0.495
Pr6 0.500 0.629 0.007
Pr7 0.746 0.374 0.836
Pr8 0.754 0.626 0.336
Dy1 0.000 0.877 0.501
Dy2 0.250 0.121 0.333
Dy3 0.250 0.879 0.833
Dy4 0.500 0.123 0.001
Dy5 0.750 0.121 0.333
Dy6 0.750 0.879 0.833



Material: LaPr7Dy3
Method: DFT, PBE-GGA
State: optimized geometry

Calculated values
The mass density is 6.709 Mg/m³. The value obtained for the formation enthalpy at 0 K is 0.21 eV per atom.

Lattice parameters (Å, degrees): 7.888 7.888 6.520 94.55 94.55 81.66
Element x y z (fractional)
La1 0.000 0.000 0.000
Pr1 0.000 0.000 0.500
Pr2 0.077 0.429 0.760
Pr3 0.266 0.266 0.287
Pr4 0.429 0.077 0.760
Pr5 0.571 0.923 0.240
Pr6 0.734 0.734 0.713
Pr7 0.923 0.571 0.240
Dy1 0.332 0.668 0.500
Dy2 0.500 0.500 0.000
Dy3 0.668 0.332 0.500



Material: La7Pr4Dy
Method: DFT, PBE-GGA
State: optimized geometry

Calculated values
The mass density is 6.457 Mg/m³. The value obtained for the formation enthalpy at 0 K is 0.02 eV per atom.

Lattice parameters (Å, degrees): 6.485 7.454 9.292 89.89 76.54 89.88
Element x y z (fractional)
La1 0.000 0.000 0.000
La2 0.219 0.500 0.331
La3 0.280 0.252 0.669
La4 0.500 0.253 0.000
La5 0.500 0.747 0.000
La6 0.720 0.748 0.331
La7 0.781 0.500 0.669
Pr1 0.224 0.000 0.331
Pr2 0.277 0.749 0.672
Pr3 0.723 0.251 0.328
Pr4 0.776 0.000 0.669
Dy1 0.000 0.500 0.000



Material: La3Pr8Dy2
Method: DFT, PBE-GGA
State: optimized geometry

Calculated values
The mass density is 6.499 Mg/m³. The value obtained for the formation enthalpy at 0 K is 0.21 eV per atom.

Lattice parameters (Å, degrees): 11.135 11.135 5.872 90.06 90.06 40.99
Element x y z (fractional)
La1 0.000 0.000 0.000
La2 0.291 0.709 0.500
La3 0.709 0.291 0.500
Pr1 0.135 0.135 0.498
Pr2 0.183 0.600 0.000
Pr3 0.323 0.323 0.499
Pr4 0.400 0.817 0.000
Pr5 0.600 0.183 0.000
Pr6 0.677 0.677 0.501
Pr7 0.817 0.400 0.000
Pr8 0.865 0.865 0.502
Dy1 0.241 0.241 0.998
Dy2 0.759 0.759 0.002



Material: La3PrDy5
Method: DFT, PBE-GGA
State: optimized geometry

Calculated values
The mass density is 7.451 Mg/m³. The value obtained for the formation enthalpy at 0 K is 0.23 eV per atom.

Lattice parameters (Å, degrees): 10.092 10.092 10.092 128.60 128.60 75.66
Element x y z (fractional)
La1 0.118 0.618 0.736
La2 0.250 0.250 0.000
La3 0.382 0.118 0.500
La4 0.618 0.882 0.500
La5 0.750 0.750 0.000
La6 0.882 0.382 0.264
Pr1 0.250 0.750 0.500
Pr2 0.750 0.250 0.500
Dy1 0.000 0.000 0.000
Dy2 0.074 0.149 0.500
Dy3 0.149 0.649 0.076
Dy4 0.351 0.426 0.500
Dy5 0.426 0.926 0.076
Dy6 0.500 0.500 0.000
Dy7 0.574 0.074 0.924
Dy8 0.649 0.574 0.500
Dy9 0.851 0.351 0.924
Dy10 0.926 0.851 0.500



Material: La2Pr2Dy7
Method: DFT, PBE-GGA
State: optimized geometry

Calculated values
The mass density is 7.380 Mg/m³. The value obtained for the formation enthalpy at 0 K is 0.34 eV per atom.

Lattice parameters (Å, degrees): 6.965 6.965 9.444 90.00 90.00 123.53
Element x y z (fractional)
La1 0.249 0.249 0.000
La2 0.751 0.751 0.000
Pr1 0.230 0.770 0.500
Pr2 0.770 0.230 0.500
Dy1 0.000 0.000 0.320
Dy2 0.000 0.000 0.680
Dy3 0.000 0.500 0.181
Dy4 0.000 0.500 0.819
Dy5 0.500 0.000 0.181
Dy6 0.500 0.000 0.819
Dy7 0.500 0.500 0.500



Material: La5Pr4Dy2
Method: DFT, PBE-GGA
State: optimized geometry

Calculated values
The mass density is 6.582 Mg/m³. The value obtained for the formation enthalpy at 0 K is 0.09 eV per atom.

Lattice parameters (Å, degrees): 12.515 12.515 8.931 94.49 94.49 16.64
Element x y z (fractional)
La1 0.000 0.000 0.000
La2 0.318 0.318 0.525
La3 0.369 0.369 0.952
La4 0.631 0.631 0.048
La5 0.682 0.682 0.475
Pr1 0.227 0.227 0.825
Pr2 0.460 0.460 0.653
Pr3 0.540 0.540 0.347
Pr4 0.773 0.773 0.175
Dy1 0.087 0.087 0.697
Dy2 0.913 0.913 0.303



Material: LaPr8Dy4
Method: DFT, PBE-GGA
State: optimized geometry

Calculated values
The mass density is 6.784 Mg/m³. The value obtained for the formation enthalpy at 0 K is 0.25 eV per atom.

Lattice parameters (Å, degrees): 8.879 8.879 6.633 108.71 108.71 85.41
Element x y z (fractional)
La1 0.000 0.000 0.000
Pr1 0.178 0.663 0.674
Pr2 0.240 0.240 0.359
Pr3 0.337 0.822 0.326
Pr4 0.346 0.346 0.926
Pr5 0.654 0.654 0.074
Pr6 0.663 0.178 0.674
Pr7 0.760 0.760 0.641
Pr8 0.822 0.337 0.326
Dy1 0.000 0.000 0.500
Dy2 0.000 0.500 0.000
Dy3 0.500 0.000 0.000
Dy4 0.500 0.500 0.500



Material: LaPr4Dy3
Method: DFT, PBE-GGA
State: optimized geometry

Calculated values
The mass density is 7.127 Mg/m³. The value obtained for the formation enthalpy at 0 K is 0.12 eV per atom.

Lattice parameters (Å, degrees): 3.532 11.852 13.247 90.00 90.00 90.00
Element x y z (fractional)
La1 0.000 0.000 0.000
La2 0.500 0.500 0.500
Pr1 0.000 0.251 0.133
Pr2 0.000 0.251 0.867
Pr3 0.000 0.749 0.133
Pr4 0.000 0.749 0.867
Pr5 0.500 0.249 0.367
Pr6 0.500 0.249 0.633
Pr7 0.500 0.751 0.367
Pr8 0.500 0.751 0.633
Dy1 0.000 0.000 0.500
Dy2 0.000 0.500 0.260
Dy3 0.000 0.500 0.740
Dy4 0.500 0.000 0.240
Dy5 0.500 0.000 0.760
Dy6 0.500 0.500 0.000



Material: La5Pr12Dy2
Method: DFT, PBE-GGA
State: optimized geometry

Calculated values
The mass density is 6.503 Mg/m³. The value obtained for the formation enthalpy at 0 K is 0.15 eV per atom.

Lattice parameters (Å, degrees): 10.220 10.220 10.583 109.74 109.74 42.19
Element x y z (fractional)
La1 0.000 0.000 0.000
La2 0.184 0.184 0.689
La3 0.327 0.327 0.289
La4 0.673 0.673 0.711
La5 0.816 0.816 0.311
Pr1 0.023 0.023 0.738
Pr2 0.085 0.582 0.976
Pr3 0.088 0.593 0.630
Pr4 0.407 0.912 0.370
Pr5 0.418 0.915 0.024
Pr6 0.498 0.498 0.179
Pr7 0.502 0.502 0.821
Pr8 0.582 0.085 0.976
Pr9 0.593 0.088 0.630
Pr10 0.912 0.407 0.370
Pr11 0.915 0.418 0.024
Pr12 0.977 0.977 0.262
Dy1 0.284 0.716 0.500
Dy2 0.716 0.284 0.500



Material: La12Pr5Dy2
Method: DFT, PBE-GGA
State: optimized geometry

Calculated values
The mass density is 6.444 Mg/m³. The value obtained for the formation enthalpy at 0 K is 0.15 eV per atom.

Lattice parameters (Å, degrees): 10.477 10.477 10.340 113.08 113.08 42.44
Element x y z (fractional)
La1 0.009 0.009 0.330
La2 0.091 0.591 0.150
La3 0.094 0.569 0.497
La4 0.409 0.909 0.850
La5 0.431 0.906 0.503
La6 0.490 0.490 0.781
La7 0.510 0.510 0.219
La8 0.569 0.094 0.497
La9 0.591 0.091 0.150
La10 0.906 0.431 0.503
La11 0.909 0.409 0.850
La12 0.991 0.991 0.670
Pr1 0.175 0.175 0.198
Pr2 0.326 0.326 0.834
Pr3 0.500 0.500 0.500
Pr4 0.674 0.674 0.166
Pr5 0.825 0.825 0.802
Dy1 0.203 0.797 0.000
Dy2 0.797 0.203 0.000